The following is a PBE calculation of crystalline Gd2PuMg at its relaxed geometry, from Alexandria.

Unit cell a=3.542 b=3.542 c=9.314 alpha=90.00 beta=90.00 gamma=90.00
Sites, in units of the cell vectors:
Gd  0.000  0.000  0.241
Gd  0.000  0.000  0.759
Pu  0.500  0.500  0.500
Mg  0.500  0.500  0.000

- energy (eV/f.u.) = -43.87
- energy relative to the elements (eV/atom) = 0.05
- SG = P4/mmm, No. 123
- spin magnetization (μB/cell) = 20.909



The following is a PBE calculation of crystalline GdPu4Mg at its relaxed geometry, from Alexandria.

Unit cell a=6.178 b=6.178 c=6.178 alpha=60.00 beta=60.00 gamma=60.00
Sites, in units of the cell vectors:
Gd  0.000  0.000  0.000
Pu  0.376  0.376  0.376
Pu  0.376  0.376  0.873
Pu  0.376  0.873  0.376
Pu  0.873  0.376  0.376
Mg  0.750  0.750  0.750

- energy (eV/f.u.) = -71.21
- energy relative to the elements (eV/atom) = 0.30
- SG = F-43m, No. 216
- spin magnetization (μB/cell) = 30.793



The following is a PBE calculation of crystalline Gd2PuMg at its relaxed geometry, from Alexandria.

Unit cell a=12.180 b=12.180 c=12.180 alpha=16.01 beta=16.01 gamma=16.01
Sites, in units of the cell vectors:
Gd  0.090  0.090  0.090
Gd  0.910  0.910  0.910
Pu  0.000  0.000  0.000
Mg  0.500  0.500  0.500

- energy (eV/f.u.) = -42.97
- energy relative to the elements (eV/atom) = 0.28
- SG = R-3m, No. 166
- spin magnetization (μB/cell) = 21.622



The following is a PBE calculation of crystalline GdPuMg at its relaxed geometry, from Alexandria.

Unit cell a=7.947 b=7.947 c=7.947 alpha=156.09 beta=156.09 gamma=34.07
Sites, in units of the cell vectors:
Gd  0.000  0.000  0.000
Pu  0.673  0.673  0.000
Mg  0.335  0.335  0.000

- energy (eV/f.u.) = -29.68
- energy relative to the elements (eV/atom) = 0.11
- SG = I4mm, No. 107
- spin magnetization (μB/cell) = 1.400



The following is a PBE calculation of crystalline Gd2PuMg at its relaxed geometry, from Alexandria.

Unit cell a=5.605 b=5.605 c=3.659 alpha=90.00 beta=90.00 gamma=90.00
Sites, in units of the cell vectors:
Gd  0.000  0.500  0.000
Gd  0.500  0.000  0.000
Pu  0.000  0.000  0.500
Mg  0.500  0.500  0.500

- energy (eV/f.u.) = -43.80
- energy relative to the elements (eV/atom) = 0.07
- SG = P4/mmm, No. 123
- spin magnetization (μB/cell) = 21.435



The following is a PBE calculation of crystalline GdPuMgRu at its relaxed geometry, from Alexandria.

Unit cell a=5.019 b=5.019 c=5.019 alpha=60.00 beta=60.00 gamma=60.00
Sites, in units of the cell vectors:
Gd  0.000  0.000  0.000
Pu  0.500  0.500  0.500
Mg  0.750  0.750  0.750
Ru  0.250  0.250  0.250

- energy (eV/f.u.) = -39.29
- energy relative to the elements (eV/atom) = 0.00
- SG = F-43m, No. 216
- spin magnetization (μB/cell) = 1.357



The following is a PBE calculation of crystalline GdPuMgSn at its relaxed geometry, from Alexandria.

Unit cell a=5.345 b=5.345 c=5.345 alpha=60.00 beta=60.00 gamma=60.00
Sites, in units of the cell vectors:
Gd  0.000  0.000  0.000
Pu  0.500  0.500  0.500
Mg  0.250  0.250  0.250
Sn  0.750  0.750  0.750

- energy (eV/f.u.) = -35.06
- energy relative to the elements (eV/atom) = -0.26
- SG = F-43m, No. 216
- spin magnetization (μB/cell) = 13.867



The following is a PBE calculation of crystalline GdPuMgTc at its relaxed geometry, from Alexandria.

Unit cell a=5.024 b=5.024 c=5.024 alpha=60.00 beta=60.00 gamma=60.00
Sites, in units of the cell vectors:
Gd  0.000  0.000  0.000
Pu  0.500  0.500  0.500
Mg  0.250  0.250  0.250
Tc  0.750  0.750  0.750

- energy (eV/f.u.) = -39.74
- energy relative to the elements (eV/atom) = 0.16
- SG = F-43m, No. 216
- spin magnetization (μB/cell) = 12.362



Question: What is the formula in the fifth record?
Answer: Gd2PuMg



Question: spin magnetization of number 7 (GdPuMgSn)?
Answer: 13.867 μB/cell



Question: Among the records above, which one has the lowest spin magnetization?
Answer: GdPuMgRu